VASP calculation (GGA-PBEsol) on a relaxed structure of In2SiP.

```
4
Lattice="5.4825 -1.6908 0.0000 5.4825 1.6908 0.0000 -2.2209 0.0000 4.4112" Properties=species:S:1:pos:R:3 pbc="T T T"
In 0.0000 0.0000 0.0000
In 0.6952 0.0000 3.1169
Si 3.8578 0.0000 1.9452
P 7.9300 0.0000 1.2399
```

Properties
The excess energy over the best structure of this formula in the dataset is 0.000 eV per atom. The space group is Cm.

=====

VASP calculation (GGA-PBEsol) on a relaxed structure of In3SiP.

```
5
Lattice="5.0448 0.0000 0.0000 0.0000 5.0448 0.0000 0.0000 0.0000 5.0448" Properties=species:S:1:pos:R:3 pbc="T T T"
In 0.0000 0.0000 2.5224
In 0.0000 2.5224 0.0000
In 2.5224 0.0000 0.0000
Si 0.0000 0.0000 0.0000
P 2.5224 2.5224 2.5224
```

Properties
The space group is Pm-3m.

=====

VASP calculation (GGA-PBEsol) on a relaxed structure of In2SiP.

```
8
Lattice="-3.0058 3.0058 5.7949 3.0058 -3.0058 5.7949 3.0058 3.0058 -5.7949" Properties=species:S:1:pos:R:3 pbc="T T T"
In 4.5087 1.4670 -1.4487
In 1.4670 1.5029 1.4487
In -1.5029 1.5388 4.3462
In 1.5388 1.5029 7.2436
Si 3.0058 0.0000 2.8975
Si 0.0000 0.0000 5.7949
P 0.0000 0.0000 0.0000
P 0.0000 3.0058 2.8975
```

Properties
The excess energy over the best structure of this formula in the dataset is 0.049 eV per atom. The space group is I-42d.

=====

VASP calculation (GGA-PBEsol) on a relaxed structure of In2SiP.

```
4
Lattice="2.9991 -3.6229 0.0000 2.9991 3.6229 0.0000 0.0000 0.0000 3.6495" Properties=species:S:1:pos:R:3 pbc="T T T"
In 1.4996 1.8115 0.0000
In 1.4996 -1.8115 0.0000
Si 0.0000 0.0000 1.8248
P 2.9991 0.0000 1.8248
```

Properties
The excess energy over the best structure of this formula in the dataset is 0.228 eV per atom. The space group is Cmmm.

=====

VASP calculation (GGA-PBEsol) on a relaxed structure of In2SiP.

```
4
Lattice="-1.9278 2.7009 3.9374 1.9278 -2.7009 3.9374 1.9278 2.7009 -3.9374" Properties=species:S:1:pos:R:3 pbc="T T T"
In 0.0000 0.0000 1.9160
In 0.0000 0.0000 5.9588
Si 0.0000 2.7009 0.0000
P 1.9278 0.0000 0.0000
```

Properties
The excess energy over the best structure of this formula in the dataset is 0.249 eV per atom. The space group is Immm.

=====

VASP calculation (GGA-PBEsol) on a relaxed structure of InSiP2.

```
4
Lattice="-1.8177 1.8177 5.4411 1.8177 -1.8177 5.4411 1.8177 1.8177 -5.4411" Properties=species:S:1:pos:R:3 pbc="T T T"
In 0.0000 0.0000 0.0000
Si 1.8177 0.0000 2.7206
P 0.0000 0.0000 5.4411
P 0.0000 1.8177 2.7206
```

Properties
The excess energy over the best structure of this formula in the dataset is 0.000 eV per atom. The space group is I-4m2.

=====

VASP calculation (GGA-PBEsol) on a relaxed structure of InSiP2.

```
4
Lattice="3.3407 0.0000 0.0000 0.0000 4.4455 0.0000 0.0000 0.0000 4.5815" Properties=species:S:1:pos:R:3 pbc="T T T"
In 0.0000 0.0000 0.0000
Si 1.6703 0.0000 2.2907
P 0.0000 2.2227 2.2907
P 1.6703 2.2227 0.0000
```

Properties
The excess energy over the best structure of this formula in the dataset is 0.076 eV per atom. The space group is Pmmm.

=====

VASP calculation (GGA-PBEsol) on a relaxed structure of In2SiP.

```
4
Lattice="2.8090 -3.8180 0.0000 2.8090 3.8180 0.0000 -2.2350 0.0000 3.8976" Properties=species:S:1:pos:R:3 pbc="T T T"
In 1.4045 1.9090 0.0000
In 1.4045 -1.9090 0.0000
Si -1.1175 0.0000 1.9488
P 1.6915 0.0000 1.9488
```

Properties
The excess energy over the best structure of this formula in the dataset is 0.165 eV per atom. The space group is C2/m.

=====

VASP calculation (GGA-PBEsol) on a relaxed structure of InSnP3.

```
5
Lattice="4.9595 0.0000 0.0000 0.0000 4.9595 0.0000 0.0000 0.0000 4.9595" Properties=species:S:1:pos:R:3 pbc="T T T"
In 0.0000 0.0000 0.0000
Sn 2.4798 2.4798 2.4798
P 0.0000 0.0000 2.4798
P 0.0000 2.4798 0.0000
P 2.4798 0.0000 0.0000
```

Properties
The calculation puts the formation energy at 1.002 eV/atom. The space group is Pm-3m.

=====

VASP calculation (GGA-PBEsol) on a relaxed structure of SrInP2.

```
4
Lattice="0.0000 3.5398 3.5398 3.5398 0.0000 3.5398 3.5398 3.5398 0.0000" Properties=species:S:1:pos:R:3 pbc="T T T"
Sr 0.0000 0.0000 0.0000
In 1.7699 1.7699 1.7699
P 3.5398 3.5398 3.5398
P 5.3097 5.3097 5.3097
```

Properties
The calculation puts the formation energy at 0.079 eV/atom. The space group is F-43m.

=====

VASP calculation (GGA-PBEsol) on a relaxed structure of SrInP2.

```
4
Lattice="4.6541 0.0000 0.0000 0.0000 4.6541 0.0000 0.0000 0.0000 3.9107" Properties=species:S:1:pos:R:3 pbc="T T T"
Sr 0.0000 0.0000 0.0000
In 2.3271 2.3271 0.0000
P 0.0000 2.3271 1.9553
P 2.3271 0.0000 1.9553
```

Properties
The calculation puts the formation energy at -0.285 eV/atom. The space group is P4/mmm.

=====

VASP calculation (GGA-PBEsol) on a relaxed structure of SrInP2.

```
4
Lattice="-2.2912 2.2912 4.1349 2.2912 -2.2912 4.1349 2.2912 2.2912 -4.1349" Properties=species:S:1:pos:R:3 pbc="T T T"
Sr 0.0000 0.0000 0.0000
In 0.0000 0.0000 4.1349
P 2.2912 0.0000 2.0674
P 0.0000 2.2912 2.0674
```

Properties
The calculation puts the formation energy at -0.188 eV/atom. The space group is I4/mmm.

=====

VASP calculation (GGA-PBEsol) on a relaxed structure of SrInP.

```
3
Lattice="4.1421 0.0000 0.0000 -2.0710 3.5871 0.0000 0.0000 0.0000 5.5396" Properties=species:S:1:pos:R:3 pbc="T T T"
Sr 0.0000 0.0000 0.0000
In 2.0710 1.1957 3.0071
P 0.0000 2.3914 1.7596
```

Properties
The calculation puts the formation energy at -0.669 eV/atom. The space group is P3m1.

=====

VASP calculation (GGA-PBEsol) on a relaxed structure of SrInP2.

```
4
Lattice="3.5576 0.0000 0.0000 0.0000 3.5576 0.0000 0.0000 0.0000 6.9563" Properties=species:S:1:pos:R:3 pbc="T T T"
Sr 0.0000 0.0000 0.0000
In 1.7788 1.7788 2.3295
P 0.0000 0.0000 4.1211
P 1.7788 1.7788 4.9168
```

Properties
The calculation puts the formation energy at -0.150 eV/atom. The space group is P4mm.

=====

VASP calculation (GGA-PBEsol) on a relaxed structure of SrIn2P.

```
4
Lattice="4.3723 0.0000 0.0000 0.0000 4.3723 0.0000 0.0000 0.0000 5.1158" Properties=species:S:1:pos:R:3 pbc="T T T"
Sr 0.0000 0.0000 0.0000
In 0.0000 2.1862 2.5579
In 2.1862 0.0000 2.5579
P 2.1862 2.1862 0.0000
```

Properties
The calculation puts the formation energy at -0.359 eV/atom. The space group is P4/mmm.

=====

VASP calculation (GGA-PBEsol) on a relaxed structure of SrInP3.

```
5
Lattice="5.0192 0.0000 0.0000 0.0000 5.0192 0.0000 0.0000 0.0000 5.0192" Properties=species:S:1:pos:R:3 pbc="T T T"
Sr 0.0000 0.0000 0.0000
In 2.5096 2.5096 2.5096
P 0.0000 2.5096 2.5096
P 2.5096 0.0000 2.5096
P 2.5096 2.5096 0.0000
```

Properties
The calculation puts the formation energy at 0.312 eV/atom. The space group is Pm-3m.

=====

VASP calculation (GGA-PBEsol) on a relaxed structure of Sr3InP3.

```
28
Lattice="12.7792 0.0000 0.0000 0.0000 4.2868 0.0000 0.0000 0.0000 13.7093" Properties=species:S:1:pos:R:3 pbc="T T T"
Sr 0.9523 1.0717 1.4364
Sr 1.8221 3.2151 6.9122
Sr 2.8716 3.2151 10.8937
Sr 3.5180 1.0717 4.0390
Sr 4.5675 1.0717 0.0575
Sr 5.4373 3.2151 8.2911
Sr 7.3419 1.0717 5.4183
Sr 8.2117 3.2151 13.6519
Sr 9.2612 3.2151 9.6703
Sr 9.9076 1.0717 2.8156
Sr 10.9570 1.0717 6.7972
Sr 11.8269 3.2151 12.2729
In 0.6558 1.0717 9.6191
In 5.7338 3.2151 2.7644
In 7.0454 1.0717 10.9449
In 12.1234 3.2151 4.0902
P 0.6156 1.0717 4.8994
P 1.1974 1.0717 12.1411
P 3.0834 1.0717 8.6145
P 3.3062 3.2151 1.7599
P 5.1922 3.2151 5.2864
P 5.7740 3.2151 11.7540
P 7.0052 1.0717 1.9553
P 7.5870 1.0717 8.4230
P 9.4730 1.0717 11.9495
P 9.6958 3.2151 5.0948
P 11.5818 3.2151 1.5683
P 12.1636 3.2151 8.8100
```

Properties
The calculation puts the formation energy at -0.956 eV/atom. The space group is Pnma.

=====

VASP calculation (GGA-PBEsol) on a relaxed structure of ZrTaIn2P.

```
5
Lattice="5.3961 0.0000 0.0000 0.0000 5.3961 0.0000 0.0000 0.0000 4.8289" Properties=species:S:1:pos:R:3 pbc="T T T"
Zr 0.0000 0.0000 0.0000
Ta 0.0000 0.0000 2.4144
In 0.0000 2.6981 0.0000
In 2.6981 0.0000 0.0000
P 2.6981 2.6981 2.4144
```

Properties
The calculation puts the formation energy at 1.535 eV/atom. The space group is P4/mmm.

=====

VASP calculation (GGA-PBEsol) on a relaxed structure of InTcP2.

```
4
Lattice="-1.9235 1.9235 4.1495 1.9235 -1.9235 4.1495 1.9235 1.9235 -4.1495" Properties=species:S:1:pos:R:3 pbc="T T T"
In 0.0000 0.0000 0.0000
Tc 1.9235 0.0000 2.0747
P 0.0000 0.0000 4.1495
P 0.0000 1.9235 2.0747
```

Properties
The calculation puts the formation energy at 0.496 eV/atom. The space group is I-4m2.

=====

VASP calculation (GGA-PBEsol) on a relaxed structure of InTcP2.

```
4
Lattice="2.7354 -3.4897 0.0000 2.7354 3.4897 0.0000 0.0000 0.0000 3.2137" Properties=species:S:1:pos:R:3 pbc="T T T"
In 0.0000 0.0000 0.0000
Tc 2.7354 0.0000 0.0000
P 1.3677 1.7449 1.6068
P 1.3677 -1.7449 1.6068
```

Properties
The calculation puts the formation energy at 0.373 eV/atom. The space group is Cmmm.

=====

VASP calculation (GGA-PBEsol) on a relaxed structure of InTc2P.

```
4
Lattice="1.4691 0.8482 8.3519 -1.4691 0.8482 8.3519 0.0000 -1.6963 8.3519" Properties=species:S:1:pos:R:3 pbc="T T T"
In 0.0000 0.0000 0.0000
Tc 0.0000 0.0000 12.6705
Tc 0.0000 0.0000 18.9649
P 0.0000 0.0000 5.9612
```

Properties
The calculation puts the formation energy at 0.051 eV/atom. The space group is R3m.

=====

VASP calculation (GGA-PBEsol) on a relaxed structure of InTeP2.

```
4
Lattice="3.7777 0.0000 0.0000 0.0000 3.8350 0.0000 0.0000 0.0000 6.0013" Properties=species:S:1:pos:R:3 pbc="T T T"
In 0.0000 0.0000 0.0000
Te 0.0000 1.9175 3.0007
P 1.8889 0.0000 3.0007
P 1.8889 1.9175 0.0000
```

Properties
The excess energy over the best structure of this formula in the dataset is 0.387 eV per atom. The space group is Pmmm.

=====

VASP calculation (GGA-PBEsol) on a relaxed structure of InTe3P.

```
5
Lattice="5.2365 0.0000 0.0000 0.0000 5.2365 0.0000 0.0000 0.0000 5.2365" Properties=species:S:1:pos:R:3 pbc="T T T"
In 0.0000 0.0000 0.0000
Te 0.0000 2.6182 2.6182
Te 2.6182 0.0000 2.6182
Te 2.6182 2.6182 0.0000
P 2.6182 2.6182 2.6182
```

Properties
The space group is Pm-3m.

=====

VASP calculation (GGA-PBEsol) on a relaxed structure of InTeP2.

```
4
Lattice="4.7102 0.0000 0.0000 0.0000 3.9036 0.0000 -1.1510 0.0000 5.0548" Properties=species:S:1:pos:R:3 pbc="T T T"
In 0.0000 0.0000 0.0000
Te 1.7796 0.0000 2.5274
P 0.5660 1.9518 4.1666
P 2.9931 1.9518 0.8882
```

Properties
The excess energy over the best structure of this formula in the dataset is 0.000 eV per atom. The space group is P2/m.

=====

VASP calculation (GGA-PBEsol) on a relaxed structure of InTeP2.

```
4
Lattice="1.9714 1.1382 6.3367 -1.9714 1.1382 6.3367 0.0000 -2.2764 6.3367" Properties=species:S:1:pos:R:3 pbc="T T T"
In 0.0000 0.0000 0.0000
Te 0.0000 0.0000 9.5051
P 0.0000 0.0000 4.7888
P 0.0000 0.0000 14.2214
```

Properties
The excess energy over the best structure of this formula in the dataset is 0.080 eV per atom. The space group is R-3m.

=====

VASP calculation (GGA-PBEsol) on a relaxed structure of TlInP2.

```
4
Lattice="-1.9864 2.7781 3.8652 1.9864 -2.7781 3.8652 1.9864 2.7781 -3.8652" Properties=species:S:1:pos:R:3 pbc="T T T"
Tl 0.0000 0.0000 0.0000
In 0.0000 0.0000 3.8652
P 1.9864 0.0000 2.1124
P 0.0000 2.7781 1.7528
```

Properties
The calculation puts the formation energy at 0.423 eV/atom. The space group is Immm.

=====

VASP calculation (GGA-PBEsol) on a relaxed structure of InP2W.

```
4
Lattice="3.1247 0.0000 0.0000 0.0000 3.1247 0.0000 0.0000 0.0000 6.8450" Properties=species:S:1:pos:R:3 pbc="T T T"
In 0.0000 0.0000 0.0000
P 0.0000 0.0000 3.7251
P 1.5623 1.5623 2.3435
W 1.5623 1.5623 4.7912
```

Properties
The calculation puts the formation energy at 0.181 eV/atom. The space group is P4mm.

=====

VASP calculation (GGA-PBEsol) on a relaxed structure of In4PW.

```
6
Lattice="0.0000 3.9559 3.9559 3.9559 0.0000 3.9559 3.9559 3.9559 0.0000" Properties=species:S:1:pos:R:3 pbc="T T T"
In 0.9879 0.9879 0.9879
In 2.9680 2.9680 0.9879
In 2.9680 0.9879 2.9680
In 0.9879 2.9680 2.9680
P 3.9559 3.9559 3.9559
W 5.9338 5.9338 5.9338
```

Properties
The calculation puts the formation energy at 0.986 eV/atom. The space group is F-43m.

=====

VASP calculation (GGA-PBEsol) on a relaxed structure of InP2W.

```
4
Lattice="-2.3437 2.3437 2.8416 2.3437 -2.3437 2.8416 2.3437 2.3437 -2.8416" Properties=species:S:1:pos:R:3 pbc="T T T"
In 0.0000 0.0000 0.0000
P 2.3437 0.0000 1.4208
P 0.0000 2.3437 1.4208
W 0.0000 0.0000 2.8416
```

Properties
The calculation puts the formation energy at 0.439 eV/atom. The space group is I4/mmm.

=====

| no. | uncorrected energy (eV/atom) |
| --- | --- |
| 1 | -4.24 |
| 2 | -3.51 |
| 3 | -4.19 |
| 4 | -4.01 |
| 5 | -3.99 |
| 6 | -4.62 |
| 7 | -4.54 |
| 8 | -4.08 |
| 9 | -3.92 |
| 10 | -4.02 |
| 11 | -4.39 |
| 12 | -4.29 |
| 13 | -4.21 |
| 14 | -4.25 |
| 15 | -3.76 |
| 16 | -4.13 |
| 17 | -4.65 |
| 18 | -5.15 |
| 19 | -5.96 |
| 20 | -6.08 |
| 21 | -7.78 |
| 22 | -4.07 |
| 23 | -3.62 |
| 24 | -4.46 |
| 25 | -4.38 |
| 26 | -3.88 |
| 27 | -6.91 |
| 28 | -4.27 |
| 29 | -6.65 |